Material: BMoF2
Method: DFT, PBE with a Hubbard U
State: relaxed

abc: 5.5793 5.5793 5.5793
angles: 90.00 90.00 90.00
Closest atoms and distances in Å follow each position.
Element x y z (fractional)
B 0.0000 0.0000 0.0000  8 F 2.42
B 0.0000 0.5000 0.5000  8 F 2.42
B 0.5000 0.0000 0.5000  8 F 2.42
B 0.5000 0.5000 0.0000  8 F 2.42
Mo 0.0000 0.0000 0.5000  8 F 2.42
Mo 0.0000 0.5000 0.0000  8 F 2.42
Mo 0.5000 0.0000 0.0000  8 F 2.42
Mo 0.5000 0.5000 0.5000  8 F 2.42
F 0.2500 0.2500 0.2500  4 Mo 2.42, 4 B 2.42
F 0.2500 0.2500 0.7500  4 Mo 2.42, 4 B 2.42
F 0.2500 0.7500 0.2500  4 Mo 2.42, 4 B 2.42
F 0.2500 0.7500 0.7500  4 Mo 2.42, 4 B 2.42
F 0.7500 0.2500 0.2500  4 Mo 2.42, 4 B 2.42
F 0.7500 0.2500 0.7500  4 Mo 2.42, 4 B 2.42
F 0.7500 0.7500 0.2500  4 Mo 2.42, 4 B 2.42
F 0.7500 0.7500 0.7500  4 Mo 2.42, 4 B 2.42

As for the distance to the lowest polymorph of the same formula: 0.79 eV per formula unit. The calculation puts the calculated density at 5.54 g/cm³. As for the spin magnetization: 0.000 μB/atom.